The following is a DFT calculation (PBE) of a geometry-optimized NpPdRu2 structure.

The space group is R-3m (No. 166, hexagonal axes) and the conventional cell measures 4.7399, 4.7399 and 10.7414 Å, with angles of 90.00, 90.00 and 120.00 degrees. The inequivalent atoms are Np at (0.0000, 0.0000, 0.0000), Pd at (0.0000, 0.0000, 0.5000) and Ru at (0.0000, 0.0000, 0.2158).

The calculation puts the density of states at the Fermi level at 23.36 states/eV/cell. The calculated total energy is -9.248 eV/atom. The value obtained for the distance to the lowest polymorph of the same formula is 0.24 eV per formula unit. The value obtained for the energy relative to the elements is -0.077 eV/atom.